1.
Compound: VCo2HRh
Source: Alexandria via LeMat-Bulk
Functional: PBE
Structure: optimized geometry

Its space-group type is P4/mmm. Its magnetization is 0.825 μB per formula unit. The value obtained for the raw total energy is -6.969 eV per atom. Its volume is 50 Å³/cell. The calculation puts the calculated density at 9.0 g/cm³.

Cell lengths 3.6630, 3.6630, 3.7484 Å; angles 90.00, 90.00, 90.00 degrees
Element x y z (fractional)
V 0.0000 0.0000 0.0000
Co 0.0000 0.5000 0.5000
Co 0.5000 0.0000 0.5000
H 0.5000 0.5000 0.5000
Rh 0.5000 0.5000 0.0000

---

2.
Compound: CoHRh2W
Source: Alexandria via LeMat-Bulk
Functional: PBE
Structure: optimized geometry

Its space-group type is P4/mmm. Its magnetization is 0.761 μB per formula unit. The value obtained for the raw total energy is -7.565 eV per atom. Its volume is 58 Å³/cell. The calculation puts the calculated density at 13.0 g/cm³.

Cell lengths 3.8152, 3.8152, 3.9558 Å; angles 90.00, 90.00, 90.00 degrees
Element x y z (fractional)
Co 0.0000 0.0000 0.0000
H 0.5000 0.5000 0.5000
Rh 0.0000 0.5000 0.5000
Rh 0.5000 0.0000 0.5000
W 0.5000 0.5000 0.0000

---

3.
Compound: CoHRh2W
Source: Alexandria via LeMat-Bulk
Functional: PBE
Structure: optimized geometry

Its space-group type is P4/mmm. Its magnetization is 0.001 μB per formula unit. The value obtained for the raw total energy is -7.661 eV per atom. Its volume is 57 Å³/cell. The calculation puts the calculated density at 13.2 g/cm³.

Cell lengths 3.8592, 3.8592, 3.8052 Å; angles 90.00, 90.00, 90.00 degrees
Element x y z (fractional)
Co 0.0000 0.0000 0.0000
H 0.0000 0.0000 0.5000
Rh 0.0000 0.5000 0.5000
Rh 0.5000 0.0000 0.5000
W 0.5000 0.5000 0.0000

---

4.
Compound: CoHRhW2
Source: Alexandria via LeMat-Bulk
Functional: PBE
Structure: optimized geometry

Its space-group type is P4/mmm. Its magnetization is 0.253 μB per formula unit. The value obtained for the raw total energy is -8.692 eV per atom. Its volume is 59 Å³/cell. The calculation puts the calculated density at 15.0 g/cm³.

Cell lengths 3.9223, 3.9223, 3.8222 Å; angles 90.00, 90.00, 90.00 degrees
Element x y z (fractional)
Co 0.0000 0.0000 0.0000
H 0.0000 0.0000 0.5000
Rh 0.5000 0.5000 0.0000
W 0.0000 0.5000 0.5000
W 0.5000 0.0000 0.5000